This record from Alexandria describes RbBCl4 after structural relaxation. The functional is PBE.

a = 6.824 Å, b = 9.648 Å, c = 6.866 Å
α = 90.00°, β = 119.02°, γ = 90.00°
Sites, in units of the cell vectors:
Rb: 0.160 0.250 0.310
Rb: 0.840 0.750 0.690
B: 0.178 0.750 0.330
B: 0.822 0.250 0.670
Cl: 0.133 0.250 0.793
Cl: 0.269 0.594 0.232
Cl: 0.269 0.906 0.232
Cl: 0.312 0.750 0.639
Cl: 0.688 0.250 0.361
Cl: 0.731 0.094 0.768
Cl: 0.731 0.406 0.768
Cl: 0.867 0.750 0.207

Results
SG ... No. 11
Volume ... 395.3 Å³/cell
DOS(E_F) ... 0.00 states/eV per atom
Raw total energy ... -3.85 eV/atom
Raw formation energy ... -129.4 kJ/mol of atoms
Density ... 2.00 Mg/m³
Energy relative to the lowest polymorph listed for this composition ... 0 meV/atom